Record 1
Pr6CoAg | the Alexandria database | PBE | relaxed; formation enthalpy at 0 K = 0.1740 eV/atom; energy above the lowest structure with this stoichiometry = 117 meV per atom
1.0
6.7517 -5.1406 0.0000
6.7517 5.1406 0.0000
-6.3742 0.0000 8.1839
Pr Co Ag
12 2 2
Direct
0.0061 0.6583 0.3406
0.1493 0.7859 0.7898
0.2141 0.8507 0.2102
0.2329 0.2329 0.1426
0.3417 0.9939 0.6594
0.3889 0.3889 0.5738
0.6111 0.6111 0.4262
0.6583 0.0061 0.3406
0.7671 0.7671 0.8574
0.7859 0.1493 0.7898
0.8507 0.2141 0.2102
0.9939 0.3417 0.6594
0.0000 0.5000 0.5000
0.5000 0.0000 0.5000
0.0000 0.5000 0.0000
0.5000 0.0000 0.0000

=====

Record 2
Pr2CoAg | the Alexandria database | PBE | relaxed; formation enthalpy at 0 K = -0.0368 eV/atom; energy above the lowest structure with this stoichiometry = 52 meV per atom
1.0
2.0160 1.1639 7.6026
-2.0160 1.1639 7.6026
0.0000 -2.3278 7.6026
Pr Co Ag
2 1 1
Direct
0.0000 0.0000 0.0000
0.1979 0.1979 0.1979
0.5982 0.5982 0.5982
0.4330 0.4330 0.4330

=====

Record 3
Pr4Co2Ag | the Alexandria database | PBE | relaxed; formation enthalpy at 0 K = 0.0605 eV/atom
1.0
1.9915 -5.3868 0.0000
1.9915 5.3868 0.0000
0.0000 0.0000 19.1858
Pr Co Ag
8 4 2
Direct
0.0000 0.0000 0.0000
0.0000 0.0000 0.5000
0.2818 0.7182 0.6277
0.2818 0.7182 0.8723
0.4265 0.5735 0.2500
0.5735 0.4265 0.7500
0.7182 0.2818 0.1277
0.7182 0.2818 0.3723
0.2845 0.7155 0.0176
0.2845 0.7155 0.4824
0.7155 0.2845 0.5176
0.7155 0.2845 0.9824
0.1387 0.8613 0.2500
0.8613 0.1387 0.7500